VASP calculation (GGA-PBEsol) on an optimized crystal structure of SnH4N2F2.

Unit cell a=10.576 b=3.265 c=5.028 alpha=90.00 beta=105.01 gamma=90.00
Space group C2/m (No. 12)
Symmetry-distinct sites (fractional):
Sn: 0.000 0.000 0.000 (multiplicity 2)
H: 0.109 0.500 0.433 (multiplicity 4)
H: 0.207 0.500 0.220 (multiplicity 4)
N: 0.110 0.500 0.228 (multiplicity 4)
F: 0.122 0.000 0.747 (multiplicity 4)

Summary:
Calculated total energy in eV/atom: -5.311
Density of states at the Fermi level in states/eV/f.u.: 0.0